## FeCo2Ru (PBE)

Data for an optimized crystal structure of FeCo2Ru.

The space group is P2/m (No. 10) and the conventional cell measures 4.459, 2.556 and 4.465 Å, with angles of 90.00, 110.18 and 90.00 degrees. The distinct sites, in fractional coordinates, are Fe at (0.000, 0.000, 0.000), Co at (0.500, 0.000, 0.500), Co at (0.500, 0.500, 0.000) and Ru at (0.000, 0.500, 0.500).

Its energy above the most stable polymorph in this dataset is 0.032 eV/atom. Its formation energy is 3.3 kcal/mol of atoms.



## FeCoSbRu (PBE)

Data for an optimized crystal structure of FeCoSbRu.

The space group is F-43m (No. 216) and the conventional cell measures 6.128, 6.128 and 6.128 Å, with angles of 90.00, 90.00 and 90.00 degrees. The distinct sites, in fractional coordinates, are Fe at (0.000, 0.000, 0.000), Co at (0.250, 0.250, 0.750), Sb at (0.000, 0.000, 0.500) and Ru at (0.250, 0.250, 0.250).



For reference, DOS(E_F) by record: 6.063 15.673 states/eV/cell.
For reference, E_tot by record: -7.844 -7.171 eV/atom.